Ga4Ag3Au PBE optimized geometry; volume = 151.2 Å³/cell; DOS at the Fermi energy = 0.380 states/eV per atom; formation enthalpy at 0 K = 0.048 eV/atom
1.0
-5.968 0.664 -1.613
4.387 -2.008 -3.922
2.631 -4.430 3.481
Ga Ag Au
4 3 1
Direct
0.111 0.768 0.879
0.111 0.232 0.343
0.566 0.239 0.326
0.087 0.761 0.326
0.617 0.282 0.899
0.792 0.000 0.792
0.617 0.718 0.334
0.251 0.500 0.751

=====

BaZr2Ru PBE optimized geometry; volume = 118.6 Å³/cell; DOS at the Fermi energy = 1.512 states/eV per atom; formation enthalpy at 0 K = 0.102 eV/atom; energy above the most stable polymorph in this dataset = 22.7 meV per atom
1.0
-1.567 3.486 1.845
-2.763 -0.344 3.203
4.338 1.000 6.638
Ba Ru Zr
1 1 2
Direct
0.250 0.250 0.250
0.750 0.750 0.750
0.039 0.039 0.885
0.461 0.461 0.615

=====

EuHoRh PBE optimized geometry; volume = 79.4 Å³/cell; DOS at the Fermi energy = 2.856 states/eV per atom; formation enthalpy at 0 K = -0.475 eV/atom; energy above the most stable polymorph in this dataset = 0.0 meV per atom
1.0
3.479 0.000 0.000
0.000 3.479 0.000
-1.740 -1.740 6.563
Eu Rh Ho
1 1 1
Direct
0.030 0.030 0.061
0.680 0.680 0.360
0.290 0.290 0.579